Ba2TmMg3H12 after structural relaxation, computed with PBE.

Cell lengths 6.7474, 6.7474, 6.7474 Å; angles 61.64, 61.64, 61.64 degrees
Last column: nearest neighbours and their distance in Å.
Atoms (fractional coordinates):
H1 0.3985 0.8706 0.8706  1 Mg 1.96
Mg1 0.0000 0.5000 0.0000  6 H 1.90-1.96
H2 0.1294 0.1294 0.6015  1 Mg 1.96
Ba1 0.3861 0.3861 0.3861  6 H 2.49-2.76
Mg2 0.0000 0.0000 0.5000  6 H 1.90-1.96
H3 0.2664 0.2664 0.8710  2 Mg 1.90
H4 0.8706 0.8706 0.3985  1 Mg 1.96
H5 0.8710 0.2664 0.2664  2 Mg 1.90
H6 0.2664 0.8710 0.2664  2 Mg 1.90
Mg3 0.5000 0.0000 0.0000  6 H 1.90-1.96
H7 0.1294 0.6015 0.1294  1 Mg 1.96
H8 0.1290 0.7336 0.7336  2 Mg 1.90
H9 0.7336 0.7336 0.1290  2 Mg 1.90
H10 0.8706 0.3985 0.8706  1 Mg 1.96
H11 0.6015 0.1294 0.1294  1 Mg 1.96
Tm1 0.0000 0.0000 0.0000  6 H 2.24
Ba2 0.6139 0.6139 0.6139  6 H 2.49-2.76
H12 0.7336 0.1290 0.7336  2 Mg 1.90

## Properties
**Space group**: R-3m, No. 166
**Calculated total energy**: -3.26 eV per atom
**Total moment**: 0.0 Bohr magnetons per cell